(1)
Here is a geometry-optimized ScRhOF2 structure from Alexandria. Energies are from PBE-GGA.

Cell: 4.079 4.079 4.168 Å, 90.00 90.00 90.00°
Last column: magnetic moment on the atom in μB.
Fractional coordinates of all 5 atoms:
F 0.500 0.000 0.000  0.01
Sc 0.000 0.000 0.000  -0.01
O 0.000 0.000 0.500  0.10
F 0.000 0.500 0.000  0.01
Rh 0.500 0.500 0.500  1.70

Values from the calculation:
- magnetic moment (μB/cell) = 2.00
- excess energy over the best structure of this formula in the dataset (meV/atom) = 0
- E_form (uncorrected) (eV/atom) = -1.980
- SG = P4/mmm (123)

***

(2)
Here is a geometry-optimized RhSeO2F structure from Alexandria. Energies are from PBE-GGA.

Cell: 3.938 3.938 4.299 Å, 90.00 90.00 90.00°
Last column: magnetic moment on the atom in μB.
Fractional coordinates of all 5 atoms:
Se 0.000 0.000 0.000  -0.02
F 0.000 0.000 0.500  0.01
O 0.000 0.500 0.000  0.08
Rh 0.500 0.500 0.500  1.83
O 0.500 0.000 0.000  0.08

Values from the calculation:
- magnetic moment (μB/cell) = 2.13
- E_form (uncorrected) (eV/atom) = 0.132
- SG = P4/mmm (123)

***

(3)
Here is a geometry-optimized RhSeO2F structure from Alexandria. Energies are from PBE-GGA.

Cell: 3.971 3.971 4.073 Å, 90.00 90.00 90.00°
Fractional coordinates of all 5 atoms:
Rh 0.000 0.000 0.000
Se 0.500 0.500 0.500
F 0.000 0.000 0.500
O 0.500 0.000 0.000
O 0.000 0.500 0.000

Values from the calculation:
- magnetic moment (μB/cell) = 0.00
- E_form (uncorrected) (eV/atom) = -0.069
- SG = P4/mmm (123)

***

(4)
Here is a geometry-optimized SiRhO2F structure from Alexandria. Energies are from PBE-GGA.

Cell: 3.978 3.978 4.036 Å, 90.00 90.00 90.00°
Fractional coordinates of all 5 atoms:
Si 0.500 0.500 0.500
O 0.000 0.500 0.000
F 0.000 0.000 0.500
Rh 0.000 0.000 0.000
O 0.500 0.000 0.000

Values from the calculation:
- magnetic moment (μB/cell) = 0.00
- E_form (uncorrected) (eV/atom) = -0.293
- SG = P4/mmm (123)

***

(5)
Here is a geometry-optimized SiRhO2F structure from Alexandria. Energies are from PBE-GGA.

Cell: 3.498 3.498 4.112 Å, 90.00 90.00 90.00°
Last column: magnetic moment on the atom in μB.
Fractional coordinates of all 5 atoms:
Rh 0.500 0.500 0.500  1.72
Si 0.000 0.000 0.000  -0.01
F 0.000 0.000 0.500  0.06
O 0.500 0.000 0.000  0.08
O 0.000 0.500 0.000  0.08

Values from the calculation:
- magnetic moment (μB/cell) = 2.01
- E_form (uncorrected) (eV/atom) = -1.025
- SG = P4/mmm (123)

***

(6)
Here is a geometry-optimized SnRhOF2 structure from Alexandria. Energies are from PBE-GGA.

Cell: 4.367 4.367 4.113 Å, 90.00 90.00 90.00°
Last column: magnetic moment on the atom in μB.
Fractional coordinates of all 5 atoms:
Rh 0.500 0.500 0.500  1.53
F 0.000 0.500 0.000  0.00
F 0.500 0.000 0.000  0.00
O 0.000 0.000 0.500  0.05
Sn 0.000 0.000 0.000  -0.01

Values from the calculation:
- magnetic moment (μB/cell) = 1.72
- excess energy over the best structure of this formula in the dataset (meV/atom) = 160
- E_form (uncorrected) (eV/atom) = -0.781
- SG = P4/mmm (123)

***

(7)
Here is a geometry-optimized SnRhOF2 structure from Alexandria. Energies are from PBE-GGA.

Cell: 4.413 4.413 3.854 Å, 90.00 90.00 90.00°
Fractional coordinates of all 5 atoms:
F 0.500 0.000 0.000
O 0.000 0.000 0.500
Sn 0.500 0.500 0.500
F 0.000 0.500 0.000
Rh 0.000 0.000 0.000

Values from the calculation:
- magnetic moment (μB/cell) = 0.00
- excess energy over the best structure of this formula in the dataset (meV/atom) = 0
- E_form (uncorrected) (eV/atom) = -0.941
- SG = P4/mmm (123)

***

(8)
Here is a geometry-optimized TaRhOF2 structure from Alexandria. Energies are from PBE-GGA.

Cell: 3.894 4.975 3.894 Å, 90.00 90.00 90.00°
Fractional coordinates of all 5 atoms:
F 0.500 0.000 0.000
Rh 0.000 0.500 0.000
O 0.500 0.500 0.500
Ta 0.000 0.000 0.000
F 0.000 0.000 0.500

Values from the calculation:
- magnetic moment (μB/cell) = 0.00
- excess energy over the best structure of this formula in the dataset (meV/atom) = 382
- E_form (uncorrected) (eV/atom) = -0.845
- SG = P4/mmm (123)

***

(9)
Here is a geometry-optimized TaRhO2F structure from Alexandria. Energies are from PBE-GGA.

Cell: 4.023 4.023 3.971 Å, 90.00 90.00 90.00°
Last column: magnetic moment on the atom in μB.
Fractional coordinates of all 5 atoms:
Ta 0.500 0.500 0.500  1.81
F 0.000 0.000 0.500  0.04
O 0.000 0.500 0.000  -0.08
O 0.500 0.000 0.000  -0.08
Rh 0.000 0.000 0.000  -0.18

Values from the calculation:
- magnetic moment (μB/cell) = 2.15
- E_form (uncorrected) (eV/atom) = 0.014
- SG = P4/mmm (123)

***

(10)
Here is a geometry-optimized TaRhO2F structure from Alexandria. Energies are from PBE-GGA.

Cell: 3.976 3.976 4.118 Å, 90.00 90.00 90.00°
Last column: magnetic moment on the atom in μB.
Fractional coordinates of all 5 atoms:
Rh 0.500 0.500 0.500  1.23
F 0.000 0.000 0.500  -0.01
O 0.000 0.500 0.000  0.05
Ta 0.000 0.000 0.000  -0.18
O 0.500 0.000 0.000  0.05

Values from the calculation:
- magnetic moment (μB/cell) = 1.18
- E_form (uncorrected) (eV/atom) = -1.384
- SG = P4/mmm (123)

***

(11)
Here is a geometry-optimized TaRhOF2 structure from Alexandria. Energies are from PBE-GGA.

Cell: 4.214 4.214 3.965 Å, 90.00 90.00 90.00°
Last column: magnetic moment on the atom in μB.
Fractional coordinates of all 5 atoms:
F 0.000 0.500 0.000  0.04
O 0.000 0.000 0.500  -0.18
Ta 0.500 0.500 0.500  2.08
F 0.500 0.000 0.000  0.04
Rh 0.000 0.000 0.000  -0.50

Values from the calculation:
- magnetic moment (μB/cell) = 2.30
- excess energy over the best structure of this formula in the dataset (meV/atom) = 1248
- E_form (uncorrected) (eV/atom) = 0.022
- SG = P4/mmm (123)

***

(12)
Here is a geometry-optimized TaRhOF2 structure from Alexandria. Energies are from PBE-GGA.

Cell: 4.154 4.154 3.919 Å, 90.00 90.00 90.00°
Fractional coordinates of all 5 atoms:
Ta 0.000 0.000 0.000
O 0.000 0.000 0.500
Rh 0.500 0.500 0.500
F 0.000 0.500 0.000
F 0.500 0.000 0.000

Values from the calculation:
- magnetic moment (μB/cell) = 0.00
- excess energy over the best structure of this formula in the dataset (meV/atom) = 0
- E_form (uncorrected) (eV/atom) = -1.226
- SG = P4/mmm (123)

***

Question: Which of these has the highest magnetic moment?
Answer: number 11

***

Question: Among the records above, which one has the lowest E_form (uncorrected)?
Answer: ScRhOF2